[1]
5
Lattice="4.454 0.000 0.000 0.000 4.454 0.000 0.000 0.000 3.824" Properties=species:S:1:pos:R:3 comment="LiRe2AsSe, relaxed, DFT GGA-PBE" raw_formation_energy_ev_per_atom=1.417 magmom_total_mub_per_fu=0.000 pbc="T T T"
Li 0.000 0.000 0.000
Re 0.000 2.227 0.000
Re 2.227 0.000 0.000
As 2.227 2.227 1.912
Se 0.000 0.000 1.912

***

[2]
5
Lattice="5.054 0.000 0.000 0.000 5.054 0.000 0.000 0.000 4.770" Properties=species:S:1:pos:R:3 comment="LiReAsSe2, relaxed, DFT GGA-PBE" raw_formation_energy_ev_per_atom=0.261 e_above_lowest_polymorph_ev_per_atom=0.000 magmom_total_mub_per_fu=0.451 pbc="T T T"
Li 0.000 0.000 0.000
Re 2.527 2.527 2.385
As 2.527 2.527 0.000
Se 0.000 2.527 2.385
Se 2.527 0.000 2.385

***

[3]
5
Lattice="4.575 0.000 0.000 0.000 4.575 0.000 0.000 0.000 4.746" Properties=species:S:1:pos:R:3 comment="LiTaRe2As, relaxed, DFT GGA-PBE" magmom_total_mub_per_fu=0.000 pbc="T T T"
Li 0.000 0.000 0.000
Ta 2.288 2.288 0.000
Re 0.000 2.288 2.373
Re 2.288 0.000 2.373
As 2.288 2.288 2.373

***

Calculated electronic total energy in order - -5.5722, -4.9346, -7.2752 eV per atom